# 1
First-principles (PBE) data for a geometry-optimized Y4Ni structure, as listed in Alexandria.

a b c (Å): 7.589 7.589 7.589
angles (deg): 60.00 60.00 60.00
Fractional positions:
Y  0.216  0.761  0.761
Y  0.239  0.239  0.239
Y  0.239  0.239  0.784
Y  0.239  0.784  0.239
Y  0.761  0.216  0.761
Y  0.761  0.761  0.216
Y  0.761  0.761  0.761
Y  0.784  0.239  0.239
Ni  0.375  0.375  0.375
Ni  0.625  0.625  0.625

Output
Energy relative to the lowest polymorph listed for this composition (meV per atom): 285
Symmetry: Fd-3m (227)

# 2
First-principles (PBE) data for a geometry-optimized YNi structure, as listed in Alexandria.

a b c (Å): 3.935 3.935 3.935
angles (deg): 60.00 60.00 60.00
Fractional positions:
Y  0.000  0.000  0.000
Ni  0.500  0.500  0.500

Output
DFT total energy (eV for the cell shown): -12.6
Symmetry: Fm-3m (225)

# 3
First-principles (PBE) data for a geometry-optimized YNi structure, as listed in Alexandria.

a b c (Å): 5.390 5.390 7.230
angles (deg): 110.72 110.72 40.08
Fractional positions:
Y  0.000  0.000  0.000
Y  0.640  0.640  0.699
Y  0.825  0.825  0.355
Ni  0.126  0.126  0.403
Ni  0.287  0.287  0.016
Ni  0.354  0.354  0.693

Output
DFT total energy (eV for the cell shown): -38.7
Symmetry: Cm (8)

# 4
First-principles (PBE) data for a geometry-optimized YNi structure, as listed in Alexandria.

a b c (Å): 8.651 8.651 3.770
angles (deg): 90.00 90.00 153.03
Fractional positions:
Y  0.000  0.000  0.000
Y  0.339  0.661  0.500
Y  0.661  0.339  0.500
Ni  0.209  0.791  0.000
Ni  0.500  0.500  0.500
Ni  0.791  0.209  0.000

Output
DFT total energy (eV for the cell shown): -38.7
Symmetry: Cmmm (65)

# 5
First-principles (PBE) data for a geometry-optimized Y2Zn16Ni structure, as listed in Alexandria.

a b c (Å): 6.762 6.762 6.762
angles (deg): 82.70 82.70 82.70
Fractional positions:
Y  0.000  0.000  0.000
Y  0.332  0.332  0.332
Zn  0.019  0.019  0.514
Zn  0.019  0.514  0.019
Zn  0.159  0.675  0.675
Zn  0.315  0.315  0.830
Zn  0.315  0.830  0.315
Zn  0.379  0.670  0.961
Zn  0.379  0.961  0.670
Zn  0.514  0.019  0.019
Zn  0.572  0.572  0.572
Zn  0.670  0.379  0.961
Zn  0.670  0.961  0.379
Zn  0.675  0.159  0.675
Zn  0.675  0.675  0.159
Zn  0.830  0.315  0.315
Zn  0.961  0.379  0.670
Zn  0.961  0.670  0.379
Ni  0.768  0.768  0.768

Output
DFT total energy (eV for the cell shown): -43.7
Symmetry: R3m (160)

# 6
First-principles (PBE) data for a geometry-optimized YZnNi structure, as listed in Alexandria.

a b c (Å): 6.768 4.054 7.880
angles (deg): 90.00 90.00 90.00
Fractional positions:
Y  0.037  0.250  0.186
Y  0.463  0.750  0.686
Y  0.537  0.250  0.314
Y  0.963  0.750  0.814
Zn  0.144  0.250  0.562
Zn  0.356  0.750  0.062
Zn  0.644  0.250  0.938
Zn  0.856  0.750  0.438
Ni  0.237  0.750  0.380
Ni  0.263  0.250  0.880
Ni  0.737  0.750  0.120
Ni  0.763  0.250  0.620

Output
DFT total energy (eV for the cell shown): -59.5
Symmetry: Pnma (62)

# 7
First-principles (PBE) data for a geometry-optimized Y3ZnNi3 structure, as listed in Alexandria.

a b c (Å): 5.355 5.355 13.069
angles (deg): 90.00 90.00 134.17
Fractional positions:
Y  0.012  0.988  0.750
Y  0.295  0.705  0.604
Y  0.295  0.705  0.896
Y  0.705  0.295  0.104
Y  0.705  0.295  0.396
Y  0.988  0.012  0.250
Zn  0.000  0.000  0.000
Zn  0.000  0.000  0.500
Ni  0.282  0.718  0.250
Ni  0.417  0.583  0.091
Ni  0.417  0.583  0.409
Ni  0.583  0.417  0.591
Ni  0.583  0.417  0.909
Ni  0.718  0.282  0.750

Output
DFT total energy (eV for the cell shown): -82.2
Symmetry: Cmcm (63)

# 8
First-principles (PBE) data for a geometry-optimized Y4ZnNi structure, as listed in Alexandria.

a b c (Å): 4.839 4.839 6.965
angles (deg): 90.07 90.07 90.00
Fractional positions:
Y  0.000  0.499  0.238
Y  0.000  0.501  0.762
Y  0.499  0.000  0.238
Y  0.501  0.000  0.762
Zn  0.000  0.000  0.500
Ni  0.500  0.500  0.000

Output
Energy relative to the lowest polymorph listed for this composition (meV per atom): 216
Symmetry: C2/m (12)

# 9
First-principles (PBE) data for a geometry-optimized Y12ZnNi5 structure, as listed in Alexandria.

a b c (Å): 8.310 8.310 8.310
angles (deg): 111.24 109.82 107.38
Fractional positions:
Y  0.037  0.225  0.812
Y  0.180  0.285  0.465
Y  0.180  0.715  0.895
Y  0.325  0.021  0.695
Y  0.325  0.630  0.305
Y  0.413  0.225  0.188
Y  0.587  0.775  0.812
Y  0.675  0.370  0.695
Y  0.675  0.979  0.305
Y  0.820  0.285  0.105
Y  0.820  0.715  0.535
Y  0.963  0.775  0.188
Zn  0.500  0.500  0.000
Ni  0.000  0.000  0.000
Ni  0.121  0.621  0.500
Ni  0.356  0.000  0.356
Ni  0.644  0.000  0.644
Ni  0.879  0.379  0.500

Output
DFT total energy (eV for the cell shown): -112.9
Symmetry: Immm (71)

# 10
First-principles (PBE) data for a geometry-optimized Y12ZnNi6 structure, as listed in Alexandria.

a b c (Å): 8.402 8.402 8.402
angles (deg): 109.47 109.47 109.47
Fractional positions:
Y  0.114  0.301  0.813
Y  0.187  0.487  0.301
Y  0.187  0.886  0.699
Y  0.301  0.187  0.487
Y  0.301  0.813  0.114
Y  0.487  0.301  0.187
Y  0.513  0.699  0.813
Y  0.699  0.187  0.886
Y  0.699  0.813  0.513
Y  0.813  0.114  0.301
Y  0.813  0.513  0.699
Y  0.886  0.699  0.187
Zn  0.000  0.000  0.000
Ni  0.123  0.500  0.623
Ni  0.377  0.877  0.500
Ni  0.500  0.377  0.877
Ni  0.500  0.623  0.123
Ni  0.623  0.123  0.500
Ni  0.877  0.500  0.377

Output
DFT total energy (eV for the cell shown): -119.3
Symmetry: Im-3 (204)

# 11
First-principles (PBE) data for a geometry-optimized Y3Zn2Ni structure, as listed in Alexandria.

a b c (Å): 12.038 4.532 9.936
angles (deg): 90.00 90.00 90.00
Fractional positions:
Y  0.059  0.250  0.110
Y  0.106  0.750  0.566
Y  0.240  0.250  0.787
Y  0.260  0.750  0.287
Y  0.394  0.250  0.066
Y  0.441  0.750  0.610
Y  0.559  0.250  0.390
Y  0.606  0.750  0.934
Y  0.740  0.250  0.713
Y  0.760  0.750  0.213
Y  0.894  0.250  0.434
Y  0.941  0.750  0.890
Zn  0.012  0.750  0.290
Zn  0.199  0.750  0.988
Zn  0.301  0.250  0.488
Zn  0.488  0.250  0.790
Zn  0.512  0.750  0.210
Zn  0.699  0.750  0.512
Zn  0.801  0.250  0.012
Zn  0.988  0.250  0.710
Ni  0.119  0.250  0.373
Ni  0.381  0.750  0.873
Ni  0.619  0.250  0.127
Ni  0.881  0.750  0.627

Output
DFT total energy (eV for the cell shown): -119.3
Symmetry: Pnma (62)

# 12
First-principles (PBE) data for a geometry-optimized YZn10Ni2 structure, as listed in Alexandria.

a b c (Å): 6.753 6.753 8.666
angles (deg): 90.00 90.00 98.74
Fractional positions:
Y  0.127  0.873  0.750
Y  0.873  0.127  0.250
Zn  0.140  0.401  0.750
Zn  0.153  0.847  0.099
Zn  0.153  0.847  0.401
Zn  0.220  0.475  0.250
Zn  0.227  0.227  0.000
Zn  0.227  0.227  0.500
Zn  0.375  0.625  0.544
Zn  0.375  0.625  0.956
Zn  0.401  0.140  0.250
Zn  0.475  0.220  0.750
Zn  0.525  0.780  0.250
Zn  0.599  0.860  0.750
Zn  0.625  0.375  0.044
Zn  0.625  0.375  0.456
Zn  0.773  0.773  0.000
Zn  0.773  0.773  0.500
Zn  0.780  0.525  0.750
Zn  0.847  0.153  0.599
Zn  0.847  0.153  0.901
Zn  0.860  0.599  0.250
Ni  0.000  0.500  0.000
Ni  0.000  0.500  0.500
Ni  0.500  0.000  0.000
Ni  0.500  0.000  0.500

Output
Energy relative to the lowest polymorph listed for this composition (meV per atom): 0
Symmetry: Cmcm (63)